This record from Alexandria via LeMat-Bulk describes CoTcTe after structural relaxation. The functional is GGA-PBEsol.

The calculation puts the formation energy (no corrections) at 0.4602 eV per atom. The total magnetization is 0.928 μB/cell. The total energy is -21.15 eV per cell.

The structure belongs to space group P3m1 (No. 156); the cell edges are 4.1409, 4.1409 and 3.0159 Å and the angles 90.00°, 90.00° and 120.00°. The distinct sites, in fractional coordinates, are Co at (0.0000, 0.0000, 0.0000), Tc at (0.3333, 0.6667, 0.4995) and Te at (0.6667, 0.3333, 0.9982).